Entry 1:
! SiOs3W PBE relaxed; values from VASP
&SYSTEM
  ibrav = 0, nat = 5, ntyp = 3
/
ATOMIC_SPECIES
Si 28.09 Si.upf
Os 190.23 Os.upf
W 183.84 W.upf
CELL_PARAMETERS angstrom
4.328 0.000 0.000
0.000 4.328 0.000
0.000 0.000 4.328
ATOMIC_POSITIONS crystal
Si 0.000 0.000 0.000
Os 0.000 0.000 0.500
Os 0.000 0.500 0.000
Os 0.500 0.000 0.000
W 0.500 0.500 0.500
! spin magnetization = 0.00 μB per cell
! uncorrected formation energy = 1266 meV per atom
! raw total energy = -9.15 eV per atom
! energy relative to the lowest polymorph listed for this composition = 0 meV/atom

=====

Entry 2:
! Si2OsW PBE relaxed; values from VASP
&SYSTEM
  ibrav = 0, nat = 8, ntyp = 3
/
ATOMIC_SPECIES
Si 28.09 Si.upf
Os 190.23 Os.upf
W 183.84 W.upf
CELL_PARAMETERS angstrom
-1.897 1.897 8.664
1.897 -1.897 8.664
1.897 1.897 -8.664
ATOMIC_POSITIONS crystal
Si 0.105 0.625 0.980
Si 0.375 0.355 0.480
Si 0.645 0.125 0.020
Si 0.875 0.895 0.520
Os 0.000 0.000 0.000
Os 0.750 0.250 0.500
W 0.250 0.750 0.500
W 0.500 0.500 0.000
! spin magnetization = 0.00 μB per cell
! uncorrected formation energy = 383 meV per atom
! raw total energy = -8.37 eV per atom

=====

Entry 3:
! Si2OsW PBE relaxed; values from VASP
&SYSTEM
  ibrav = 0, nat = 4, ntyp = 3
/
ATOMIC_SPECIES
Si 28.09 Si.upf
Os 190.23 Os.upf
W 183.84 W.upf
CELL_PARAMETERS angstrom
-1.486 1.911 5.112
1.486 -1.911 5.112
1.486 1.911 -5.112
ATOMIC_POSITIONS crystal
Si 0.000 0.000 0.000
Si 0.757 0.257 0.500
Os 0.565 0.565 0.000
W 0.324 0.824 0.500
! spin magnetization = 0.00 μB per cell
! uncorrected formation energy = -100 meV per atom
! raw total energy = -8.86 eV per atom

=====

Entry 4:
! SiOs2W PBE relaxed; values from VASP
&SYSTEM
  ibrav = 0, nat = 4, ntyp = 3
/
ATOMIC_SPECIES
Si 28.09 Si.upf
Os 190.23 Os.upf
W 183.84 W.upf
CELL_PARAMETERS angstrom
-1.877 1.877 4.079
1.877 -1.877 4.079
1.877 1.877 -4.079
ATOMIC_POSITIONS crystal
Si 0.000 0.000 0.000
Os 0.500 0.500 0.000
Os 0.750 0.250 0.500
W 0.250 0.750 0.500
! spin magnetization = 0.00 μB per cell
! uncorrected formation energy = 118 meV per atom
! raw total energy = -10.09 eV per atom

=====

Repeat the first record exactly.
! SiOs3W PBE relaxed; values from VASP
&SYSTEM
  ibrav = 0, nat = 5, ntyp = 3
/
ATOMIC_SPECIES
Si 28.09 Si.upf
Os 190.23 Os.upf
W 183.84 W.upf
CELL_PARAMETERS angstrom
4.328 0.000 0.000
0.000 4.328 0.000
0.000 0.000 4.328
ATOMIC_POSITIONS crystal
Si 0.000 0.000 0.000
Os 0.000 0.000 0.500
Os 0.000 0.500 0.000
Os 0.500 0.000 0.000
W 0.500 0.500 0.500
! spin magnetization = 0.00 μB per cell
! uncorrected formation energy = 1266 meV per atom
! raw total energy = -9.15 eV per atom
! energy relative to the lowest polymorph listed for this composition = 0 meV/atom